No. 1
A relaxed structure of AlGaI4. Source: the Alexandria database, functional PBE.

Raw formation energy = -0.567 eV per atom
DOS at the Fermi energy = 0.00 states/eV/cell
Energy = -2.729 eV/atom
Total magnetic moment = 0.000 μB per atom

a b c (Å): 10.5678 11.4288 10.5600
angles (deg): 90.00 90.00 93.47
Sites, in units of the cell vectors:
Al (0.8939, 0.2091, 0.8415)
Al (0.6061, 0.2909, 0.3415)
Al (0.3939, 0.7091, 0.6585)
Al (0.1061, 0.7909, 0.1585)
Ga (0.5550, 0.3302, 0.8311)
Ga (0.9450, 0.1698, 0.3311)
Ga (0.0550, 0.8302, 0.6689)
Ga (0.4450, 0.6698, 0.1689)
I (0.6847, 0.0855, 0.8660)
I (0.0183, 0.1401, 0.6482)
I (0.6677, 0.0779, 0.3072)
I (0.4602, 0.3003, 0.5340)
I (0.8323, 0.4221, 0.8072)
I (0.0398, 0.1997, 0.0340)
I (0.4817, 0.3599, 0.1482)
I (0.8153, 0.4145, 0.3660)
I (0.1847, 0.5855, 0.6340)
I (0.5183, 0.6401, 0.8518)
I (0.9602, 0.8003, 0.9660)
I (0.1677, 0.5779, 0.1928)
I (0.5398, 0.6997, 0.4660)
I (0.3323, 0.9221, 0.6928)
I (0.9817, 0.8599, 0.3518)
I (0.3153, 0.9145, 0.1340)


No. 2
A relaxed structure of Al2GaI. Source: the Alexandria database, functional PBE.

Energy above the lowest structure with this stoichiometry = 0 meV/atom
Raw formation energy = 0.148 eV per atom
DOS at the Fermi energy = 0.00 states/eV/cell
Energy = -2.868 eV/atom
Total magnetic moment = 0.000 μB per atom

a b c (Å): 6.2439 6.2439 7.7237
angles (deg): 66.16 66.16 90.00
Sites, in units of the cell vectors:
I (0.0000, 0.0000, 0.0000)
I (0.7500, 0.2500, 0.5000)
Al (0.5470, 0.1250, 0.2500)
Al (0.2030, 0.6250, 0.2500)
Al (0.3750, 0.4530, 0.7500)
Al (0.8750, 0.7970, 0.7500)
Ga (0.5000, 0.5000, 0.0000)
Ga (0.2500, 0.7500, 0.5000)


No. 3
A relaxed structure of AlGaI. Source: the Alexandria database, functional PBE.

Raw formation energy = -0.085 eV per atom
DOS at the Fermi energy = 0.55 states/eV/cell
Energy = -2.858 eV/atom
Total magnetic moment = 0.000 μB per atom

a b c (Å): 4.3955 4.5957 11.1220
angles (deg): 81.85 81.34 61.79
Sites, in units of the cell vectors:
I (0.3822, 0.0630, 0.1188)
I (0.0211, 0.0297, 0.7654)
Al (0.7583, 0.2212, 0.5290)
Al (0.4242, 0.8650, 0.5521)
Ga (0.7888, 0.1174, 0.2822)
Ga (0.1351, 0.5541, 0.4255)


No. 4
A relaxed structure of AlGaI. Source: the Alexandria database, functional PBE.

Raw formation energy = -0.089 eV per atom
DOS at the Fermi energy = 1.61 states/eV/cell
Energy = -2.862 eV/atom
Total magnetic moment = 0.000 μB per atom

a b c (Å): 4.3509 6.0055 7.7097
angles (deg): 90.00 92.79 90.00
Sites, in units of the cell vectors:
I (0.2616, 0.4433, 0.1801)
I (0.7384, 0.9433, 0.8199)
Al (0.5021, 0.1495, 0.5172)
Al (0.4979, 0.6495, 0.4828)
Ga (0.0082, 0.4024, 0.5354)
Ga (0.9918, 0.9024, 0.4646)


No. 5
A relaxed structure of AlGaI6. Source: the Alexandria database, functional PBE.

Raw formation energy = -0.355 eV per atom
DOS at the Fermi energy = 3.14 states/eV/cell
Energy = -2.364 eV/atom
Total magnetic moment = 0.000 μB per atom

a b c (Å): 7.6744 7.6744 7.0140
angles (deg): 99.70 99.70 125.62
Sites, in units of the cell vectors:
Al (0.5000, 0.5000, 0.5000)
Ga (0.0000, 0.0000, 0.0000)
I (0.2560, 0.2560, 0.7433)
I (0.3976, 0.1096, 0.2531)
I (0.7440, 0.7440, 0.2567)
I (0.8904, 0.6024, 0.7469)
I (0.6024, 0.8904, 0.7469)
I (0.1096, 0.3976, 0.2531)


No. 6
A relaxed structure of AlGaIN2. Source: the Alexandria database, functional PBE.

Energy above the lowest structure with this stoichiometry = 34 meV/atom
Raw formation energy = 0.834 eV per atom
DOS at the Fermi energy = 2.86 states/eV/cell
Energy = -4.160 eV/atom
Total magnetic moment = 0.002 μB per atom

a b c (Å): 3.8370 6.5612 3.8370
angles (deg): 90.00 90.00 90.00
Sites, in units of the cell vectors:
I (0.5000, 0.5000, 0.5000)
Al (0.0000, 0.0000, 0.0000)
Ga (0.0000, 0.5000, 0.0000)
N (0.0000, 0.0000, 0.5000)
N (0.5000, 0.0000, 0.0000)


No. 7
A relaxed structure of AlGaIN2. Source: the Alexandria database, functional PBE.

Energy above the lowest structure with this stoichiometry = 485 meV/atom
Raw formation energy = 1.285 eV per atom
DOS at the Fermi energy = 3.30 states/eV/cell
Energy = -3.709 eV/atom
Total magnetic moment = 0.069 μB per atom

a b c (Å): 3.9290 3.9290 6.2119
angles (deg): 90.00 90.00 90.00
Each line ends with the local moment (μB).
Sites, in units of the cell vectors:
I (0.0000, 0.0000, 0.5000)  0.00
Al (0.5000, 0.5000, 0.5000)  -0.01
Ga (0.0000, 0.0000, 0.0000)  -0.01
N (0.0000, 0.5000, 0.0000)  0.13
N (0.5000, 0.0000, 0.0000)  0.13


No. 8
A relaxed structure of AlGaIN2. Source: the Alexandria database, functional PBE.

Energy above the lowest structure with this stoichiometry = 0 meV/atom
Raw formation energy = 0.800 eV per atom
DOS at the Fermi energy = 2.40 states/eV/cell
Energy = -4.194 eV/atom
Total magnetic moment = 0.116 μB per atom

a b c (Å): 3.8699 3.8699 6.1697
angles (deg): 90.00 90.00 90.00
Each line ends with the local moment (μB).
Sites, in units of the cell vectors:
I (0.0000, 0.0000, 0.5000)  0.01
Al (0.0000, 0.0000, 0.0000)  -0.01
Ga (0.5000, 0.5000, 0.5000)  -0.01
N (0.0000, 0.5000, 0.0000)  0.21
N (0.5000, 0.0000, 0.0000)  0.21


No. 9
A relaxed structure of Nd8AlGa3I4. Source: the Alexandria database, functional PBE.

Raw formation energy = -0.716 eV per atom
DOS at the Fermi energy = 9.06 states/eV/cell
Energy = -4.289 eV/atom
Total magnetic moment = 0.000 μB per atom

a b c (Å): 8.7447 9.1531 8.7478
angles (deg): 118.55 119.99 90.00
Sites, in units of the cell vectors:
Nd (0.2404, 0.7153, 0.9749)
Nd (0.2404, 0.7153, 0.4808)
Nd (0.2633, 0.2899, 0.5266)
Nd (0.7345, 0.7153, 0.9749)
Nd (0.2655, 0.2847, 0.0251)
Nd (0.7367, 0.7101, 0.4734)
Nd (0.7596, 0.2847, 0.5192)
Nd (0.7596, 0.2847, 0.0251)
Al (0.0000, 0.5000, 0.0000)
Ga (0.5000, 0.5000, 0.0000)
Ga (0.5000, 0.5000, 0.5000)
Ga (0.0000, 0.5000, 0.5000)
I (0.5000, 0.0000, 0.0000)
I (0.5000, 0.0000, 0.5000)
I (0.0000, 0.0000, 0.0000)
I (0.0000, 0.0000, 0.5000)


No. 10
A relaxed structure of AlGaIO2. Source: the Alexandria database, functional PBE.

Energy above the lowest structure with this stoichiometry = 549 meV/atom
Raw formation energy = -0.311 eV per atom
DOS at the Fermi energy = 2.71 states/eV/cell
Energy = -3.958 eV/atom
Total magnetic moment = 0.000 μB per atom

a b c (Å): 3.9256 3.9256 5.7982
angles (deg): 90.00 90.00 90.00
Sites, in units of the cell vectors:
I (0.0000, 0.0000, 0.5000)
O (0.0000, 0.5000, 0.0000)
O (0.5000, 0.0000, 0.0000)
Al (0.5000, 0.5000, 0.5000)
Ga (0.0000, 0.0000, 0.0000)


No. 11
A relaxed structure of AlGaIO2. Source: the Alexandria database, functional PBE.

Energy above the lowest structure with this stoichiometry = 0 meV/atom
Raw formation energy = -0.860 eV per atom
DOS at the Fermi energy = 1.48 states/eV/cell
Energy = -4.507 eV/atom
Total magnetic moment = 0.011 μB per atom

a b c (Å): 3.8314 3.8314 5.8746
angles (deg): 90.00 90.00 90.00
Sites, in units of the cell vectors:
I (0.0000, 0.0000, 0.5000)
O (0.0000, 0.5000, 0.0000)
O (0.5000, 0.0000, 0.0000)
Al (0.0000, 0.0000, 0.0000)
Ga (0.5000, 0.5000, 0.5000)


No. 12
A relaxed structure of Al2GaPI. Source: the Alexandria database, functional PBE.

Raw formation energy = 1.289 eV per atom
DOS at the Fermi energy = 5.00 states/eV/cell
Energy = -2.206 eV/atom
Total magnetic moment = 0.000 μB per atom

a b c (Å): 5.4843 5.7350 5.4843
angles (deg): 90.00 90.00 90.00
Sites, in units of the cell vectors:
I (0.0000, 0.0000, 0.0000)
P (0.5000, 0.5000, 0.5000)
Al (0.0000, 0.0000, 0.5000)
Al (0.5000, 0.0000, 0.0000)
Ga (0.0000, 0.5000, 0.0000)


No. 13
A relaxed structure of Pr8AlGa3I4. Source: the Alexandria database, functional PBE.

Raw formation energy = -0.726 eV per atom
DOS at the Fermi energy = 9.14 states/eV/cell
Energy = -4.305 eV/atom
Total magnetic moment = 0.000 μB per atom

a b c (Å): 8.8068 9.2235 8.8095
angles (deg): 118.54 119.99 90.00
Sites, in units of the cell vectors:
Pr (0.2407, 0.7164, 0.9757)
Pr (0.2407, 0.7164, 0.4814)
Pr (0.2629, 0.2886, 0.5257)
Pr (0.7350, 0.7164, 0.9757)
Pr (0.2650, 0.2836, 0.0243)
Pr (0.7371, 0.7114, 0.4743)
Pr (0.7593, 0.2836, 0.5186)
Pr (0.7593, 0.2836, 0.0243)
Al (0.0000, 0.5000, 0.0000)
Ga (0.5000, 0.5000, 0.0000)
Ga (0.5000, 0.5000, 0.5000)
Ga (0.0000, 0.5000, 0.5000)
I (0.5000, 0.0000, 0.0000)
I (0.5000, 0.0000, 0.5000)
I (0.0000, 0.0000, 0.0000)
I (0.0000, 0.0000, 0.5000)


No. 14
A relaxed structure of Pr4AlGaI2. Source: the Alexandria database, functional PBE.

Raw formation energy = -0.678 eV per atom
DOS at the Fermi energy = 4.00 states/eV/cell
Energy = -4.302 eV/atom
Total magnetic moment = 0.000 μB per atom

a b c (Å): 4.3944 7.6609 8.1099
angles (deg): 108.09 90.00 90.00
Sites, in units of the cell vectors:
Pr (0.5000, 0.2342, 0.2148)
Pr (0.5000, 0.7658, 0.7852)
Pr (0.0000, 0.2566, 0.7804)
Pr (0.0000, 0.7434, 0.2196)
Al (0.5000, 0.5000, 0.0000)
Ga (0.0000, 0.0000, 0.0000)
I (0.5000, 0.0000, 0.5000)
I (0.0000, 0.5000, 0.5000)


No. 15
A relaxed structure of AlGa2PtI. Source: the Alexandria database, functional PBE.

Raw formation energy = 1.219 eV per atom
DOS at the Fermi energy = 1.61 states/eV/cell
Energy = -2.259 eV/atom
Total magnetic moment = 0.000 μB per atom

a b c (Å): 5.7472 5.4549 5.7472
angles (deg): 90.00 90.00 90.00
Sites, in units of the cell vectors:
I (0.0000, 0.0000, 0.0000)
Ga (0.0000, 0.0000, 0.5000)
Ga (0.5000, 0.0000, 0.0000)
Pt (0.5000, 0.5000, 0.5000)
Al (0.0000, 0.5000, 0.0000)


No. 16
A relaxed structure of Rb2AlGaI6. Source: the Alexandria database, functional PBE.

Raw formation energy = -0.881 eV per atom
DOS at the Fermi energy = 0.00 states/eV/cell
Energy = -2.682 eV/atom
Total magnetic moment = 0.000 μB per atom

a b c (Å): 8.4034 8.4034 8.4067
angles (deg): 60.01 60.01 90.00
Sites, in units of the cell vectors:
I (0.2651, 0.2651, 0.4698)
I (0.7349, 0.7349, 0.5302)
I (0.2649, 0.2649, 0.0000)
I (0.7351, 0.7351, 0.0000)
I (0.7351, 0.2649, 0.0000)
I (0.2649, 0.7351, 0.0000)
Ga (0.0000, 0.0000, 0.0000)
Rb (0.7500, 0.2500, 0.5000)
Rb (0.2500, 0.7500, 0.5000)
Al (0.5000, 0.5000, 0.0000)


No. 17
A relaxed structure of RbAl2GaI8. Source: the Alexandria database, functional PBE.

Raw formation energy = -0.773 eV per atom
DOS at the Fermi energy = 0.00 states/eV/cell
Energy = -2.763 eV/atom
Total magnetic moment = 0.000 μB per atom

a b c (Å): 7.5976 7.5976 11.2183
angles (deg): 90.00 90.00 120.00
Sites, in units of the cell vectors:
Rb (0.0000, 0.0000, 0.0000)
Al (0.6667, 0.3333, 0.2379)
Al (0.3333, 0.6667, 0.7621)
Ga (0.0000, 0.0000, 0.5000)
I (0.3333, 0.6667, 0.9900)
I (0.3436, 0.3312, 0.3095)
I (0.6688, 0.0124, 0.3095)
I (0.6667, 0.3333, 0.0100)
I (0.3312, 0.9876, 0.6905)
I (0.6564, 0.6688, 0.6905)
I (0.0124, 0.3436, 0.6905)
I (0.9876, 0.6564, 0.3095)


No. 18
A relaxed structure of AlGaSb2I. Source: the Alexandria database, functional PBE.

Energy above the lowest structure with this stoichiometry = 0 meV/atom
Raw formation energy = 0.363 eV per atom
DOS at the Fermi energy = 4.32 states/eV/cell
Energy = -2.950 eV/atom
Total magnetic moment = 0.000 μB per atom

a b c (Å): 5.3139 5.3139 5.7426
angles (deg): 90.00 90.00 90.00
Sites, in units of the cell vectors:
I (0.0000, 0.0000, 0.5000)
Sb (0.0000, 0.5000, 0.0000)
Sb (0.5000, 0.0000, 0.0000)
Al (0.0000, 0.0000, 0.0000)
Ga (0.5000, 0.5000, 0.5000)


No. 19
A relaxed structure of AlGaSe2I. Source: the Alexandria database, functional PBE.

Raw formation energy = 0.686 eV per atom
DOS at the Fermi energy = 2.32 states/eV/cell
Energy = -2.372 eV/atom
Total magnetic moment = 0.000 μB per atom

a b c (Å): 5.5524 5.6885 5.5524
angles (deg): 90.00 90.00 90.00
Sites, in units of the cell vectors:
I (0.0000, 0.0000, 0.0000)
Ga (0.5000, 0.5000, 0.5000)
Se (0.0000, 0.0000, 0.5000)
Se (0.5000, 0.0000, 0.0000)
Al (0.0000, 0.5000, 0.0000)


No. 20
A relaxed structure of AlGaSn2I. Source: the Alexandria database, functional PBE.

Raw formation energy = 0.927 eV per atom
DOS at the Fermi energy = 3.49 states/eV/cell
Energy = -2.338 eV/atom
Total magnetic moment = 0.000 μB per atom

a b c (Å): 5.9157 5.7881 5.9157
angles (deg): 90.00 90.00 90.00
Sites, in units of the cell vectors:
I (0.0000, 0.0000, 0.0000)
Sn (0.0000, 0.0000, 0.5000)
Sn (0.5000, 0.0000, 0.0000)
Ga (0.5000, 0.5000, 0.5000)
Al (0.0000, 0.5000, 0.0000)


No. 21
A relaxed structure of AlGaTeI2. Source: the Alexandria database, functional PBE.

Energy above the lowest structure with this stoichiometry = 242 meV/atom
Raw formation energy = 0.151 eV per atom
DOS at the Fermi energy = 4.25 states/eV/cell
Energy = -2.452 eV/atom
Total magnetic moment = 0.000 μB per atom

a b c (Å): 5.7181 5.7181 5.4569
angles (deg): 90.00 90.00 90.00
Sites, in units of the cell vectors:
I (0.0000, 0.5000, 0.0000)
I (0.5000, 0.0000, 0.0000)
Te (0.0000, 0.0000, 0.5000)
Al (0.5000, 0.5000, 0.5000)
Ga (0.0000, 0.0000, 0.0000)


No. 22
A relaxed structure of AlGaTeI2. Source: the Alexandria database, functional PBE.

Energy above the lowest structure with this stoichiometry = 0 meV/atom
Raw formation energy = -0.091 eV per atom
DOS at the Fermi energy = 3.00 states/eV/cell
Energy = -2.693 eV/atom
Total magnetic moment = 0.000 μB per atom

a b c (Å): 5.6514 5.6514 5.4341
angles (deg): 90.00 90.00 90.00
Sites, in units of the cell vectors:
I (0.0000, 0.5000, 0.0000)
I (0.5000, 0.0000, 0.0000)
Te (0.0000, 0.0000, 0.5000)
Al (0.0000, 0.0000, 0.0000)
Ga (0.5000, 0.5000, 0.5000)


No. 23
A relaxed structure of AlGaW2I. Source: the Alexandria database, functional PBE.

Raw formation energy = 2.518 eV per atom
DOS at the Fermi energy = 4.82 states/eV/cell
Energy = -4.327 eV/atom
Total magnetic moment = 0.524 μB per atom

a b c (Å): 4.9708 5.2729 4.9708
angles (deg): 90.00 90.00 90.00
Each line ends with the local moment (μB).
Sites, in units of the cell vectors:
I (0.0000, 0.0000, 0.0000)  -0.02
Ga (0.5000, 0.5000, 0.5000)  0.02
W (0.0000, 0.0000, 0.5000)  0.95
W (0.5000, 0.0000, 0.0000)  1.08
Al (0.0000, 0.5000, 0.0000)  0.00


No. 24
A relaxed structure of AlIn2Ga. Source: the Alexandria database, functional PBE.

Energy above the lowest structure with this stoichiometry = 11 meV/atom
Formation energy = 0.13 eV/atom
DOS at the Fermi energy = 1.61 states/eV/cell
Energy = -2.931 eV/atom
Total magnetic moment = 0.000 μB per atom

a b c (Å): 3.2477 5.2884 5.2884
angles (deg): 90.00 90.00 90.00
Sites, in units of the cell vectors:
Al (0.5000, 0.5000, 0.5000)
Ga (0.5000, 0.0000, 0.0000)
In (0.0000, 0.0000, 0.5000)
In (0.0000, 0.5000, 0.0000)


No. 25
A relaxed structure of AlInGa2. Source: the Alexandria database, functional PBE.

Energy above the lowest structure with this stoichiometry = 45 meV/atom
Formation energy = 0.09 eV/atom
DOS at the Fermi energy = 1.12 states/eV/cell
Energy = -3.046 eV/atom
Total magnetic moment = 0.000 μB per atom

a b c (Å): 4.3221 4.3221 5.9925
angles (deg): 68.86 68.86 60.00
Sites, in units of the cell vectors:
Al (0.6750, 0.6750, 0.9751)
In (0.4935, 0.4935, 0.5194)
Ga (0.0649, 0.0649, 0.8053)
Ga (0.2666, 0.2666, 0.2001)